# 1
Al6Zn12Sn: relaxed, PBE.

Computed properties:
crystal system	trigonal
DFT total energy	-2.0905	eV per atom
formation energy from the elements	0.11	eV/atom
symmetry	R-3m (166)
D(E_F)	7.5	states/eV/cell

Cell: 7.3847 7.3847 7.3847 Å, 106.76 106.76 106.76°
Closest atoms and distances in Å follow each position.
Element x y z (fractional)
Zn 0.0874 0.3433 0.3433  2 Zn 2.66, 4 Al 2.69-2.79, 1 Sn 2.77
Zn 0.5000 0.8879 0.1121  3 Zn 2.66, 4 Al 2.72-2.73
Zn 0.3433 0.3433 0.0874  2 Zn 2.66, 4 Al 2.69-2.79, 1 Sn 2.77
Zn 0.3433 0.0874 0.3433  2 Zn 2.66, 4 Al 2.69-2.79, 1 Sn 2.77
Zn 0.1121 0.8879 0.5000  3 Zn 2.66, 4 Al 2.72-2.73
Zn 0.6567 0.9126 0.6567  2 Zn 2.66, 4 Al 2.69-2.79, 1 Sn 2.77
Zn 0.8879 0.5000 0.1121  3 Zn 2.66, 4 Al 2.72-2.73
Zn 0.6567 0.6567 0.9126  2 Zn 2.66, 4 Al 2.69-2.79, 1 Sn 2.77
Zn 0.1121 0.5000 0.8879  3 Zn 2.66, 4 Al 2.72-2.73
Zn 0.5000 0.1121 0.8879  3 Zn 2.66, 4 Al 2.72-2.73
Zn 0.8879 0.1121 0.5000  3 Zn 2.66, 4 Al 2.72-2.73
Zn 0.9126 0.6567 0.6567  2 Zn 2.66, 4 Al 2.69-2.79, 1 Sn 2.77
Al 0.3083 0.6910 0.6910  8 Zn 2.69-2.79, 2 Al 2.82
Al 0.6910 0.6910 0.3083  8 Zn 2.69-2.79, 2 Al 2.82
Al 0.3090 0.6917 0.3090  8 Zn 2.69-2.79, 2 Al 2.82
Al 0.6917 0.3090 0.3090  8 Zn 2.69-2.79, 2 Al 2.82
Al 0.3090 0.3090 0.6917  8 Zn 2.69-2.79, 2 Al 2.82
Al 0.6910 0.3083 0.6910  8 Zn 2.69-2.79, 2 Al 2.82
Sn 0.0000 0.0000 0.0000  6 Zn 2.77

---

# 2
Al5Zn3Sn12: relaxed, PBE.

Computed properties:
crystal system	cubic
DFT total energy	-3.3264	eV per atom
formation energy from the elements	0.20	eV/atom
symmetry	Ia-3d (230)
D(E_F)	34.2	states/eV/cell

Cell: 14.2233 14.2233 14.2233 Å, 109.47 109.47 109.47°
Closest atoms and distances in Å follow each position.
Element x y z (fractional)
Sn 0.7660 0.4375 0.3732  2 Al 2.74-2.84, 1 Zn 2.77
Sn 0.0625 0.4358 0.8286  2 Al 2.74-2.84, 1 Zn 2.77
Sn 0.6072 0.7340 0.6714  2 Al 2.74-2.84, 1 Zn 2.77
Sn 0.9358 0.1072 0.8732  2 Al 2.74-2.84, 1 Zn 2.77
Sn 0.9375 0.5642 0.1714  2 Al 2.74-2.84, 1 Zn 2.77
Sn 0.1072 0.1714 0.2340  2 Al 2.74-2.84, 1 Zn 2.77
Sn 0.5625 0.3286 0.9358  2 Al 2.74-2.84, 1 Zn 2.77
Sn 0.2660 0.8732 0.9375  2 Al 2.74-2.84, 1 Zn 2.77
Sn 0.4358 0.0625 0.3286  2 Al 2.74-2.84, 1 Zn 2.77
Sn 0.0625 0.6268 0.7340  2 Al 2.74-2.84, 1 Zn 2.77
Sn 0.1072 0.9358 0.3732  2 Al 2.74-2.84, 1 Zn 2.77
Sn 0.8732 0.6072 0.9358  2 Al 2.74-2.84, 1 Zn 2.77
Sn 0.1268 0.7340 0.5625  2 Al 2.74-2.84, 1 Zn 2.77
Sn 0.5625 0.2340 0.1268  2 Al 2.74-2.84, 1 Zn 2.77
Sn 0.2340 0.6714 0.1072  2 Al 2.74-2.84, 1 Zn 2.77
Sn 0.7340 0.1268 0.0625  2 Al 2.74-2.84, 1 Zn 2.77
Sn 0.0642 0.1714 0.4375  2 Al 2.74-2.84, 1 Zn 2.77
Sn 0.7660 0.3286 0.8928  2 Al 2.74-2.84, 1 Zn 2.77
Sn 0.8286 0.8928 0.2660  2 Al 2.74-2.84, 1 Zn 2.77
Sn 0.3286 0.5625 0.4358  2 Al 2.74-2.84, 1 Zn 2.77
Sn 0.1714 0.0642 0.9375  2 Al 2.74-2.84, 1 Zn 2.77
Sn 0.5642 0.6268 0.3928  2 Al 2.74-2.84, 1 Zn 2.77
Sn 0.8928 0.0642 0.6268  2 Al 2.74-2.84, 1 Zn 2.77
Sn 0.2660 0.3928 0.8286  2 Al 2.74-2.84, 1 Zn 2.77
Sn 0.9358 0.8286 0.5625  2 Al 2.74-2.84, 1 Zn 2.77
Sn 0.6268 0.5642 0.8928  2 Al 2.74-2.84, 1 Zn 2.77
Sn 0.3732 0.9375 0.7660  2 Al 2.74-2.84, 1 Zn 2.77
Sn 0.6714 0.2340 0.6072  2 Al 2.74-2.84, 1 Zn 2.77
Sn 0.7340 0.6072 0.1714  2 Al 2.74-2.84, 1 Zn 2.77
Sn 0.9375 0.3732 0.2660  2 Al 2.74-2.84, 1 Zn 2.77
Sn 0.8286 0.9358 0.0625  2 Al 2.74-2.84, 1 Zn 2.77
Sn 0.3928 0.1268 0.5642  2 Al 2.74-2.84, 1 Zn 2.77
Sn 0.5642 0.9375 0.6714  2 Al 2.74-2.84, 1 Zn 2.77
Sn 0.0642 0.8928 0.1268  2 Al 2.74-2.84, 1 Zn 2.77
Sn 0.4358 0.3732 0.6072  2 Al 2.74-2.84, 1 Zn 2.77
Sn 0.6072 0.8732 0.4358  2 Al 2.74-2.84, 1 Zn 2.77
Sn 0.1714 0.1072 0.7340  2 Al 2.74-2.84, 1 Zn 2.77
Sn 0.4375 0.6714 0.0642  2 Al 2.74-2.84, 1 Zn 2.77
Sn 0.3286 0.7660 0.3928  2 Al 2.74-2.84, 1 Zn 2.77
Sn 0.1268 0.3928 0.0642  2 Al 2.74-2.84, 1 Zn 2.77
Sn 0.3732 0.4358 0.1072  2 Al 2.74-2.84, 1 Zn 2.77
Sn 0.8928 0.8286 0.7660  2 Al 2.74-2.84, 1 Zn 2.77
Sn 0.2340 0.5625 0.6268  2 Al 2.74-2.84, 1 Zn 2.77
Sn 0.8732 0.2660 0.4375  2 Al 2.74-2.84, 1 Zn 2.77
Sn 0.6268 0.0625 0.2340  2 Al 2.74-2.84, 1 Zn 2.77
Sn 0.4375 0.7660 0.8732  2 Al 2.74-2.84, 1 Zn 2.77
Sn 0.6714 0.4375 0.5642  2 Al 2.74-2.84, 1 Zn 2.77
Sn 0.3928 0.2660 0.3286  2 Al 2.74-2.84, 1 Zn 2.77
Zn 0.2500 0.6250 0.8750  4 Sn 2.77
Zn 0.1250 0.8750 0.7500  4 Sn 2.77
Zn 0.7500 0.8750 0.6250  4 Sn 2.77
Zn 0.6250 0.2500 0.3750  4 Sn 2.77
Zn 0.3750 0.6250 0.2500  4 Sn 2.77
Zn 0.6250 0.3750 0.7500  4 Sn 2.77
Zn 0.8750 0.7500 0.1250  4 Sn 2.77
Zn 0.3750 0.7500 0.6250  4 Sn 2.77
Zn 0.1250 0.2500 0.8750  4 Sn 2.77
Zn 0.7500 0.3750 0.1250  4 Sn 2.77
Zn 0.8750 0.1250 0.2500  4 Sn 2.77
Zn 0.2500 0.1250 0.3750  4 Sn 2.77
Al 0.0000 0.5000 0.0000  6 Sn 2.84
Al 0.5000 0.5000 0.0000  6 Sn 2.84
Al 0.1250 0.7500 0.3750  4 Sn 2.74
Al 0.2500 0.3750 0.6250  4 Sn 2.74
Al 0.0000 0.0000 0.0000  6 Sn 2.84
Al 0.5000 0.5000 0.5000  6 Sn 2.84
Al 0.2500 0.8750 0.1250  4 Sn 2.74
Al 0.5000 0.0000 0.5000  6 Sn 2.84
Al 0.0000 0.0000 0.5000  6 Sn 2.84
Al 0.6250 0.8750 0.2500  4 Sn 2.74
Al 0.1250 0.3750 0.2500  4 Sn 2.74
Al 0.5000 0.0000 0.0000  6 Sn 2.84
Al 0.0000 0.5000 0.5000  6 Sn 2.84
Al 0.7500 0.6250 0.3750  4 Sn 2.74
Al 0.3750 0.1250 0.7500  4 Sn 2.74
Al 0.8750 0.2500 0.6250  4 Sn 2.74
Al 0.6250 0.7500 0.8750  4 Sn 2.74
Al 0.8750 0.6250 0.7500  4 Sn 2.74
Al 0.3750 0.2500 0.1250  4 Sn 2.74
Al 0.7500 0.1250 0.8750  4 Sn 2.74

---

# 3
AlZn2Sn: relaxed, PBE.

Computed properties:
excess energy over the best structure of this formula in the dataset	0.034	eV/f.u.
crystal system	tetragonal
DFT total energy	-2.4363	eV per atom
formation energy from the elements	0.14	eV/atom
symmetry	P4/mmm (123)
D(E_F)	1.3	states/eV/cell

Cell: 3.3119 3.3119 7.0423 Å, 90.00 90.00 90.00°
Closest atoms and distances in Å follow each position.
Element x y z (fractional)
Zn 0.0000 0.0000 0.7909  4 Al 2.77, 1 Zn 2.95
Zn 0.0000 0.0000 0.2091  4 Al 2.77, 1 Zn 2.95
Sn 0.5000 0.5000 0.5000  8 Zn 3.11, 4 Sn 3.31
Al 0.5000 0.5000 0.0000  8 Zn 2.77

---

# 4
AlZn4Sn: relaxed, PBE.

Computed properties:
crystal system	cubic
DFT total energy	-2.0323	eV per atom
formation energy from the elements	0.11	eV/atom
symmetry	F-43m (216)
D(E_F)	1.8	states/eV/cell

Cell: 5.3339 5.3339 5.3339 Å, 60.00 60.00 60.00°
Closest atoms and distances in Å follow each position.
Element x y z (fractional)
Zn 0.1238 0.6254 0.6254  6 Zn 2.66-2.68
Zn 0.6254 0.1238 0.6254  6 Zn 2.66-2.68
Zn 0.6254 0.6254 0.6254  6 Zn 2.66-2.68
Zn 0.6254 0.6254 0.1238  6 Zn 2.66-2.68
Al 0.0000 0.0000 0.0000  12 Zn 3.13, 4 Sn 3.27
Sn 0.2500 0.2500 0.2500  12 Zn 3.13, 4 Al 3.27

---

# 5
Al4ZnSn: relaxed, PBE.

Computed properties:
crystal system	cubic
DFT total energy	-3.1761	eV per atom
formation energy from the elements	0.20	eV/atom
symmetry	F-43m (216)
D(E_F)	2.6	states/eV/cell

Cell: 5.4880 5.4880 5.4880 Å, 60.00 60.00 60.00°
Closest atoms and distances in Å follow each position.
Element x y z (fractional)
Al 0.6255 0.6255 0.1235  6 Al 2.73-2.75
Al 0.1235 0.6255 0.6255  6 Al 2.73-2.75
Al 0.6255 0.1235 0.6255  6 Al 2.73-2.75
Al 0.6255 0.6255 0.6255  6 Al 2.73-2.75
Sn 0.2500 0.2500 0.2500  12 Al 3.22, 4 Zn 3.36
Zn 0.0000 0.0000 0.0000  12 Al 3.22, 4 Sn 3.36

---

# 6
Al2ZnSn: relaxed, PBE.

Computed properties:
crystal system	tetragonal
DFT total energy	-3.0425	eV per atom
formation energy from the elements	0.15	eV/atom
symmetry	P4/mmm (123)
D(E_F)	1.4	states/eV/cell

Cell: 4.3234 4.2259 4.2259 Å, 90.00 90.00 90.00°
Closest atoms and distances in Å follow each position.
Element x y z (fractional)
Al 0.0000 0.5000 0.0000  4 Al 2.99, 4 Sn 3.02, 4 Zn 3.02
Al 0.0000 0.0000 0.5000  4 Al 2.99, 4 Sn 3.02, 4 Zn 3.02
Zn 0.5000 0.0000 0.0000  4 Sn 2.99, 8 Al 3.02
Sn 0.5000 0.5000 0.5000  4 Zn 2.99, 8 Al 3.02

---

Q: The lowest D(E_F) belongs to which entry?
A: AlZn2Sn

---

Please write out number 5 again, unchanged.
Al4ZnSn: relaxed, PBE.

Computed properties:
crystal system	cubic
DFT total energy	-3.1761	eV per atom
formation energy from the elements	0.20	eV/atom
symmetry	F-43m (216)
D(E_F)	2.6	states/eV/cell

Cell: 5.4880 5.4880 5.4880 Å, 60.00 60.00 60.00°
Closest atoms and distances in Å follow each position.
Element x y z (fractional)
Al 0.6255 0.6255 0.1235  6 Al 2.73-2.75
Al 0.1235 0.6255 0.6255  6 Al 2.73-2.75
Al 0.6255 0.1235 0.6255  6 Al 2.73-2.75
Al 0.6255 0.6255 0.6255  6 Al 2.73-2.75
Sn 0.2500 0.2500 0.2500  12 Al 3.22, 4 Zn 3.36
Zn 0.0000 0.0000 0.0000  12 Al 3.22, 4 Sn 3.36

---

Q: Which value of D(E_F) does entry 5 give?
A: 2.6 states/eV/cell